MgCuRe2Rh after structural relaxation, computed with PBE.

Calculated values
DFT formation energy	1.71	eV per atom

Cell lengths 4.690, 4.719, 4.690 Å; angles 90.00, 90.00, 90.00 degrees
Last column: magnetic moment on the atom in μB.
Fractional positions:
Re 0.000 0.000 0.500  0.72
Re 0.500 0.000 0.000  0.71
Mg 0.000 0.500 0.000  -0.01
Rh 0.000 0.000 0.000  -0.01
Cu 0.500 0.500 0.500  0.06